(1)
Below is CoAg2W after structural relaxation, with properties calculated at the GGA-PBE level.

abc: 3.681 3.681 4.594
angles: 90.00 90.00 90.00
Fractional coordinates of all 4 atoms:
Co 0.000 0.000 0.000
Ag 0.000 0.500 0.500
Ag 0.500 0.000 0.500
W 0.500 0.500 0.000

## Properties
Its formation energy is 0.797 eV/atom. The space-group type is P4/mmm, No. 123. The energy above the lowest structure with this stoichiometry comes out at 468 meV/atom. The value obtained for the total energy is -5.643 eV/atom.

=====

(2)
Below is Th4VGe8 after structural relaxation, with properties calculated at the GGA-PBE level.

abc: 4.137 4.244 16.839
angles: 90.00 90.00 90.00
Fractional coordinates of all 13 atoms:
Th 0.000 0.000 0.000
Th 0.000 0.500 0.490
Th 0.500 0.000 0.785
Th 0.500 0.500 0.281
V 0.000 0.500 0.702
Ge 0.000 0.000 0.335
Ge 0.000 0.000 0.625
Ge 0.000 0.500 0.141
Ge 0.000 0.500 0.850
Ge 0.500 0.000 0.141
Ge 0.500 0.000 0.436
Ge 0.500 0.500 0.623
Ge 0.500 0.500 0.945

## Properties
Its formation energy is -0.533 eV/atom. The space-group type is Pmm2, No. 25. The value obtained for the total energy is -6.359 eV/atom.

=====

(3)
Below is Hf2ZrCoNi after structural relaxation, with properties calculated at the GGA-PBE level.

abc: 5.106 5.106 4.336
angles: 90.00 90.00 90.00
Fractional coordinates of all 5 atoms:
Hf 0.000 0.500 0.000
Hf 0.500 0.000 0.000
Zr 0.000 0.000 0.000
Co 0.000 0.000 0.500
Ni 0.500 0.500 0.500

## Properties
Its formation energy is 1.493 eV/atom. The space-group type is P4/mmm, No. 123. The value obtained for the total energy is -6.776 eV/atom.

=====

(4)
Below is CaLaPr2Tl4 after structural relaxation, with properties calculated at the GGA-PBE level.

abc: 9.738 9.738 9.738
angles: 33.09 33.09 33.09
Fractional coordinates of all 8 atoms:
Ca 0.000 0.000 0.000
La 0.500 0.500 0.500
Pr 0.255 0.255 0.255
Pr 0.745 0.745 0.745
Tl 0.126 0.126 0.126
Tl 0.376 0.376 0.376
Tl 0.624 0.624 0.624
Tl 0.874 0.874 0.874

## Properties
Its formation energy is -0.407 eV/atom. The space-group type is R-3m, No. 166. The value obtained for the total energy is -3.651 eV/atom.

=====

(5)
Below is ThIn3Cu after structural relaxation, with properties calculated at the GGA-PBE level.

abc: 12.837 12.837 4.587
angles: 90.00 90.00 161.10
Fractional coordinates of all 10 atoms:
Th 0.084 0.916 0.750
Th 0.916 0.084 0.250
In 0.196 0.804 0.250
In 0.310 0.690 0.250
In 0.469 0.531 0.750
In 0.531 0.469 0.250
In 0.690 0.310 0.750
In 0.804 0.196 0.750
Cu 0.369 0.631 0.750
Cu 0.631 0.369 0.250

## Properties
Its formation energy is -0.179 eV/atom. The space-group type is Cmcm, No. 63. The value obtained for the total energy is -4.125 eV/atom.

=====

(6)
Below is Hf2ZrTaO after structural relaxation, with properties calculated at the GGA-PBE level.

abc: 4.422 4.422 4.557
angles: 90.00 90.00 90.00
Fractional coordinates of all 5 atoms:
Hf 0.000 0.500 0.000
Hf 0.500 0.000 0.000
Zr 0.000 0.000 0.500
Ta 0.500 0.500 0.500
O 0.000 0.000 0.000

## Properties
The energy relative to the elements, uncorrected comes out at -1004 meV/atom. The space-group type is P4/mmm, No. 123. The value obtained for the total energy is -10.057 eV/atom.